# Ba2Zn3GaSn4 | Alexandria | PBE | relaxed
data_Ba2Zn3GaSn4
_chemical_formula_sum 'Ba2 Zn3 Ga1 Sn4'
_cell_length_a 4.862
_cell_length_b 4.862
_cell_length_c 11.302
_cell_angle_alpha 90.00
_cell_angle_beta 90.00
_cell_angle_gamma 90.00
_symmetry_space_group_name_H-M 'P 1'
_symmetry_Int_Tables_number 1
_symmetry_space_group_name_Hall 'P 1'
loop_
_atom_site_label
_atom_site_fract_x
_atom_site_fract_y
_atom_site_fract_z
Sn1 0.500 0.000 0.627
Ba1 0.000 0.500 0.742
Ba2 0.500 0.000 0.258
Ga1 0.500 0.500 0.500
Zn1 0.000 0.500 0.134
Sn2 0.000 0.500 0.373
Zn2 0.500 0.000 0.866
Sn3 0.000 0.000 0.000
Zn3 0.000 0.000 0.500
Sn4 0.500 0.500 0.000
# Energy of formation in kJ/mol of formula units: -394